1.
## FeHgW2 (PBE-GGA)

Data for a relaxed structure of FeHgW2.

Its space-group type is I-4m2. The calculated total energy is -8.0209 eV per atom.

POSCAR file:
```
FeHgW2
1.0
4.8354 -0.0505 0.0000
1.4827 4.6028 0.0000
-3.1591 -2.2761 2.8677
W Fe Hg
2 1 1
Direct
0.0000 0.0000 0.0000
0.2500 0.7500 0.5000
0.5000 0.5000 0.0000
0.7500 0.2500 0.5000
```



2.
## Re8B2W (PBE-GGA)

Data for a relaxed structure of Re8B2W.

Its space-group type is C2/m. The calculated total energy is -11.4429 eV per atom.

POSCAR file:
```
Re8B2W
1.0
4.3022 0.2239 -0.7962
-1.7052 5.5333 -2.3555
0.1759 -0.0144 6.2483
Re B W
8 2 1
Direct
0.8016 0.5984 0.5984
0.1984 0.3955 0.3955
0.6089 0.3282 0.0714
0.3911 0.9224 0.6657
0.0000 0.7452 0.2486
0.3911 0.6657 0.9224
0.0000 0.2486 0.7452
0.6089 0.0714 0.3282
0.5000 0.3101 0.6838
0.5000 0.6838 0.3101
0.0000 0.9969 0.9969
```



3.
## Zr2Ga8Fe (PBE-GGA)

Data for a relaxed structure of Zr2Ga8Fe.

Its space-group type is P4/mmm. The calculated total energy is -4.9341 eV per atom.

POSCAR file:
```
Zr2Ga8Fe
1.0
-1.5103 -2.7169 2.7020
3.6906 -1.8123 0.2406
2.7202 6.6264 8.1835
Ga Zr Fe
8 2 1
Direct
0.5000 0.5000 0.6908
0.5000 0.0000 0.5000
0.5000 0.0000 0.8809
0.0000 0.5000 0.5000
0.5000 0.5000 0.3092
0.0000 0.5000 0.8809
0.0000 0.5000 0.1191
0.5000 0.0000 0.1191
0.0000 0.0000 0.6909
0.0000 0.0000 0.3091
0.0000 0.0000 0.0000
```



4.
## AlReSe2 (PBE-GGA)

Data for a relaxed structure of AlReSe2.

Its space-group type is Cm. The calculation puts the formation energy without anion corrections at -0.042 eV per atom.

POSCAR file:
```
AlReSe2
1.0
4.7289 -0.0009 -0.0181
3.7240 2.9144 -0.0181
1.8026 0.6213 6.6028
Re Se Al
1 2 1
Direct
0.2692 0.2692 0.3314
0.9421 0.9421 0.0954
0.7677 0.7677 0.6326
0.5210 0.5210 0.4406
```



5.
## PaBiH (PBE-GGA)

Data for a relaxed structure of PaBiH.

Its space-group type is C2/m. The relative energy among the computed polymorphs is 158 meV per atom.

POSCAR file:
```
PaBiH
1.0
3.3213 -0.0082 0.2692
-1.6426 2.8867 -0.2692
-0.7302 -1.5029 13.2004
H Pa Bi
2 2 2
Direct
0.1556 0.3036 0.4591
0.8444 0.6964 0.5409
0.2019 0.4305 0.6324
0.7981 0.5695 0.3676
0.4074 0.7422 0.1496
0.5926 0.2578 0.8504
```



6.
## MnHg2Os (PBE-GGA)

Data for a relaxed structure of MnHg2Os.

Its space-group type is Immm. The relative energy among the computed polymorphs is 293 meV per atom.

POSCAR file:
```
MnHg2Os
1.0
5.0210 -0.3224 -0.6735
2.1721 4.5383 0.6735
-3.2514 -2.6969 2.8149
Os Hg Mn
1 2 1
Direct
0.7500 0.2500 0.5000
0.0001 0.0001 0.0000
0.4999 0.4999 0.0000
0.2500 0.7500 0.5000
```



7.
## Th3SnRu2 (PBE-GGA)

Data for a relaxed structure of Th3SnRu2.

Its space-group type is C2/m. The calculated total energy is -7.8845 eV per atom.

POSCAR file:
```
Th3SnRu2
1.0
4.6028 0.0000 0.0000
0.0000 8.7118 -0.2437
-2.3014 -2.1074 7.6845
Th Sn Ru
6 2 4
Direct
0.0784 0.7055 0.1568
0.9216 0.2945 0.8432
0.6020 0.3766 0.2039
0.3980 0.6234 0.7961
0.7637 0.7944 0.5274
0.2363 0.2056 0.4726
0.5931 0.9784 0.1862
0.4069 0.0216 0.8138
0.2026 0.5614 0.4052
0.7974 0.4386 0.5948
0.9449 0.8479 0.8899
0.0551 0.1521 0.1101
```



8.
## Rb2CuHgBr6 (PBE-GGA)

Data for a relaxed structure of Rb2CuHgBr6.

Its space-group type is P2_1/c. The relative energy among the computed polymorphs is 0 meV per atom. The calculation puts the formation energy without anion corrections at -0.921 eV per atom.

POSCAR file:
```
Rb2CuHgBr6
1.0
-2.0096 -1.9048 8.2544
7.0936 0.0226 1.7322
-0.9447 10.6280 3.7297
Br Rb Hg Cu
12 4 2 2
Direct
0.0518 0.4977 0.7809
0.3314 0.7229 0.0333
0.6686 0.2771 0.9667
0.5518 0.0023 0.2809
0.9482 0.5023 0.2191
0.4482 0.9977 0.7191
0.8270 0.7640 0.9931
0.1730 0.2360 0.0069
0.6730 0.2640 0.5069
0.8314 0.7771 0.5333
0.1686 0.2229 0.4667
0.3270 0.7360 0.4931
0.9602 0.0010 0.2430
0.4602 0.4990 0.7430
0.0398 0.9990 0.7570
0.5398 0.5010 0.2570
0.0000 0.5000 0.5000
0.5000 0.0000 0.0000
0.5000 0.0000 0.5000
0.0000 0.5000 0.0000
```



9.
## BaSmPb2 (PBE-GGA)

Data for a relaxed structure of BaSmPb2.

Its space-group type is R-3m. The calculated total energy is -3.8930 eV per atom.

POSCAR file:
```
BaSmPb2
1.0
-2.2179 -2.8585 3.8416
2.0354 -4.6891 1.3106
3.6632 0.2838 5.9506
Pb Sm Ba
2 1 1
Direct
0.7297 0.7297 0.8110
0.2703 0.2703 0.1890
0.0000 0.0000 0.0000
0.5000 0.5000 0.5000
```



10.
## NaSr2Tl7 (PBE-GGA)

Data for a relaxed structure of NaSr2Tl7.

Its space-group type is Fm-3m. The calculated total energy is -2.0531 eV per atom.

POSCAR file:
```
NaSr2Tl7
1.0
8.0955 0.0000 0.0000
4.0478 7.0109 0.0000
4.0478 2.3370 6.6100
Sr Tl Na
2 7 1
Direct
0.7500 0.7500 0.7500
0.2500 0.2500 0.2500
0.2444 0.7556 0.7556
0.5000 0.5000 0.5000
0.2444 0.2444 0.7556
0.2444 0.7556 0.2444
0.7556 0.7556 0.2444
0.7556 0.2444 0.7556
0.7556 0.2444 0.2444
0.0000 0.0000 0.0000
```



11.
## YAg2W (PBE-GGA)

Data for a relaxed structure of YAg2W.

Its space-group type is Fm-3m. The relative energy among the computed polymorphs is 216 meV per atom.

POSCAR file:
```
YAg2W
1.0
0.0000 3.4190 3.4190
3.4190 0.0000 3.4190
3.4190 3.4190 0.0000
W Y Ag
1 1 2
Direct
0.5000 0.5000 0.5000
0.0000 0.0000 0.0000
0.7500 0.7500 0.7500
0.2500 0.2500 0.2500
```



12.
## Fe2Rh (PBE-GGA)

Data for a relaxed structure of Fe2Rh.

Its space-group type is Cmmm. The calculated total energy is -8.1418 eV per atom.

POSCAR file:
```
Fe2Rh
1.0
2.9633 0.0000 0.0000
0.0000 6.6302 0.0013
0.0000 1.3349 3.9912
Fe Rh
4 2
Direct
0.0000 0.3333 0.3333
0.0000 0.6530 0.6735
0.5000 0.3333 0.8333
0.0000 0.0137 0.9932
0.5000 0.6676 0.1662
0.5000 0.9991 0.5005
```



13.
## HoMg2Fe9 (PBE-GGA)

Data for a relaxed structure of HoMg2Fe9.

Its space-group type is R-3m. The calculated total energy is -6.9765 eV per atom.

POSCAR file:
```
HoMg2Fe9
1.0
-1.6877 3.3208 -3.2698
-1.7174 -1.5053 -4.3991
-8.3558 -0.0636 0.4915
Fe Mg Ho
9 2 1
Direct
0.0824 0.5862 0.7452
0.5862 0.5862 0.7452
0.4138 0.4138 0.2548
0.5862 0.0824 0.7452
0.9176 0.4138 0.2548
0.4138 0.9176 0.2548
0.3337 0.3337 0.9989
0.5000 0.5000 0.5000
0.6663 0.6663 0.0011
0.1435 0.1435 0.5694
0.8565 0.8565 0.4306
0.0000 0.0000 0.0000
```



14.
## BaSr3Li (PBE-GGA)

Data for a relaxed structure of BaSr3Li.

Its space-group type is Pm-3m. The relative energy among the computed polymorphs is 734 meV per atom.

POSCAR file:
```
BaSr3Li
1.0
6.8666 0.0000 0.0000
0.0000 6.8666 0.0000
0.0000 0.0000 6.8666
Sr Li Ba
3 1 1
Direct
0.0000 0.5000 0.0000
0.0000 0.0000 0.5000
0.5000 0.0000 0.0000
0.5000 0.5000 0.5000
0.0000 0.0000 0.0000
```



15.
## AsRhSe2Cl (PBE-GGA)

Data for a relaxed structure of AsRhSe2Cl.

Its space-group type is P4/mmm. The relative energy among the computed polymorphs is 898 meV per atom. The calculation puts the formation energy without anion corrections at 1.329 eV per atom.

POSCAR file:
```
AsRhSe2Cl
1.0
4.8791 0.0000 0.0000
0.0000 4.8791 0.0000
0.0000 0.0000 4.7748
Rh As Cl Se
1 1 1 2
Direct
0.5000 0.5000 0.5000
0.0000 0.0000 0.5000
0.0000 0.0000 0.0000
0.5000 0.0000 0.0000
0.0000 0.5000 0.0000
```



16.
## La3PmNdSm (PBE-GGA)

Data for a relaxed structure of La3PmNdSm.

Its space-group type is C2/m. The calculated total energy is -4.6991 eV per atom.

POSCAR file:
```
La3PmNdSm
1.0
-2.9931 -5.0239 0.9560
6.7669 -2.1240 -8.3402
4.8128 -2.0088 4.5116
La Nd Sm Pm
6 2 2 2
Direct
0.8403 0.6806 0.2360
0.2199 0.4398 0.2708
0.5170 0.0340 0.7562
0.4830 0.9660 0.2438
0.7801 0.5602 0.7292
0.1597 0.3194 0.7640
0.0587 0.1174 0.2576
0.9413 0.8826 0.7424
0.3579 0.7157 0.5146
0.6421 0.2843 0.4854
0.3520 0.7039 0.9681
0.6480 0.2961 0.0319
```



17.
## In2S2Cl (PBE-GGA)

Data for a relaxed structure of In2S2Cl.

Its space-group type is I4/mmm. The relative energy among the computed polymorphs is 0 meV per atom. The calculation puts the formation energy without anion corrections at -0.587 eV per atom.

POSCAR file:
```
In2S2Cl
1.0
3.7382 0.0000 -0.9812
-0.2575 3.7293 -0.9812
0.2558 0.2741 8.5864
In S Cl
2 2 1
Direct
0.1591 0.1591 0.3182
0.8409 0.8409 0.6818
0.6705 0.6705 0.3410
0.3295 0.3295 0.6590
0.0000 0.0000 0.0000
```



18.
## Nb3InH (PBE-GGA)

Data for a relaxed structure of Nb3InH.

Its space-group type is Fd-3m. The calculated total energy is -7.0224 eV per atom.

POSCAR file:
```
Nb3InH
1.0
-3.9645 -1.9194 6.6532
-5.3234 5.0840 3.0792
-7.7910 -1.6876 -0.3447
Nb In H
12 4 4
Direct
0.4303 0.4303 0.0697
0.1803 0.8197 0.8197
0.4303 0.0697 0.0697
0.0697 0.0697 0.4303
0.0697 0.4303 0.4303
0.8197 0.1803 0.1803
0.1803 0.1803 0.8197
0.8197 0.8197 0.1803
0.0697 0.4303 0.0697
0.1803 0.8197 0.1803
0.8197 0.1803 0.8197
0.4303 0.0697 0.4303
0.6250 0.6250 0.6250
0.6250 0.6250 0.1250
0.1250 0.6250 0.6250
0.6250 0.1250 0.6250
0.1250 0.1250 0.6250
0.1250 0.6250 0.1250
0.6250 0.1250 0.1250
0.1250 0.1250 0.1250
```



19.
## Na2TlHg8Pd (PBE-GGA)

Data for a relaxed structure of Na2TlHg8Pd.

Its space-group type is P-3m1. The calculated total energy is -1.1482 eV per atom.

POSCAR file:
```
Na2TlHg8Pd
1.0
6.2625 0.0000 0.0000
-3.1312 5.4235 0.0000
0.0000 0.0000 9.3054
Hg Tl Na Pd
8 1 2 1
Direct
0.3333 0.6667 0.5517
0.6667 0.3333 0.4483
0.6539 0.8270 0.2225
0.8270 0.1730 0.7775
0.8270 0.6539 0.7775
0.3461 0.1730 0.7775
0.1730 0.3461 0.2225
0.1730 0.8270 0.2225
0.0000 0.0000 0.5000
0.6667 0.3333 0.0867
0.3333 0.6667 0.9133
0.0000 0.0000 0.0000
```



20.
## Al3NiRh2 (PBE-GGA)

Data for a relaxed structure of Al3NiRh2.

Its space-group type is P4/mmm. The calculated total energy is -6.2168 eV per atom.

POSCAR file:
```
Al3NiRh2
1.0
-2.5164 1.0182 1.1880
-1.2171 0.1402 -2.6980
-2.9793 -8.4207 0.9063
Rh Al Ni
2 3 1
Direct
0.5000 0.5000 0.1714
0.5000 0.5000 0.8286
0.0000 0.0000 0.0000
0.0000 0.0000 0.3426
0.0000 0.0000 0.6574
0.5000 0.5000 0.5000
```



21.
## Ac2MgHg (PBE-GGA)

Data for a relaxed structure of Ac2MgHg.

Its space-group type is Fm-3m. The relative energy among the computed polymorphs is 19 meV per atom.

POSCAR file:
```
Ac2MgHg
1.0
-0.1440 3.3244 4.7063
-0.7259 -2.3892 5.1949
4.3742 -0.1248 3.7514
Mg Ac Hg
1 2 1
Direct
0.5000 0.5000 0.5000
0.2500 0.2500 0.2500
0.7500 0.7500 0.7500
0.0000 0.0000 0.0000
```



22.
## KTaFeAu2 (PBE-GGA)

Data for a relaxed structure of KTaFeAu2.

Its space-group type is P4/mmm. The relative energy among the computed polymorphs is 1026 meV per atom.

POSCAR file:
```
KTaFeAu2
1.0
5.1509 0.0000 0.0000
0.0000 6.1045 0.0000
0.0000 0.0000 5.1509
K Ta Au Fe
1 1 2 1
Direct
0.0000 0.5000 0.0000
0.0000 0.0000 0.0000
0.5000 0.0000 0.0000
0.0000 0.0000 0.5000
0.5000 0.5000 0.5000
```



23.
## CaSm3Tl2 (PBE-GGA)

Data for a relaxed structure of CaSm3Tl2.

Its space-group type is Pmma. The relative energy among the computed polymorphs is 0 meV per atom.

POSCAR file:
```
CaSm3Tl2
1.0
5.4851 0.0000 0.0000
0.0000 6.9044 0.0000
0.0000 0.0000 9.5867
Ca Tl Sm
2 4 6
Direct
0.5000 0.5001 0.5002
0.5000 0.0001 0.4998
0.5000 0.2499 0.1657
0.0000 0.7501 0.3351
0.5000 0.7499 0.8343
0.0000 0.2501 0.6649
0.5000 0.7498 0.1668
0.0000 0.9999 0.0001
0.5000 0.2498 0.8332
0.0000 0.7502 0.6680
0.0000 0.2502 0.3320
0.0000 0.4999 0.9999
```



24.
## BRhBrCl2 (PBE-GGA)

Data for a relaxed structure of BRhBrCl2.

Its space-group type is P4/mmm. The calculation puts the formation energy without anion corrections at 0.751 eV per atom.

POSCAR file:
```
BRhBrCl2
1.0
-2.4030 -1.5135 3.0321
-3.3409 -2.4916 -3.8915
2.3578 -3.4165 0.1633
Br Cl B Rh
1 2 1 1
Direct
0.0000 0.5000 0.0000
0.5000 0.0000 0.0000
0.0000 0.0000 0.5000
0.0000 0.0000 0.0000
0.5000 0.5000 0.5000
```